VASP calculation (PBE+U) on Pr2CrSiO6 after structural relaxation.

Mass density, g/cm3: 5.93
Raw total energy, eV per cell: -79.529

Cell and atoms, written as CIF:
```
data_Pr2CrSiO6
_cell_length_a 5.252
_cell_length_b 5.252
_cell_length_c 4.649
_cell_angle_alpha 90.00
_cell_angle_beta 90.00
_cell_angle_gamma 90.00
_space_group_name_H-M_alt 'P 4 m m'
_space_group_IT_number 99
loop_
_space_group_symop_operation_xyz
'x,y,z'
'-y,x,z'
'-x,-y,z'
'y,-x,z'
'-x,y,z'
'y,x,z'
'x,-y,z'
'-y,-x,z'
loop_
_atom_site_label
_atom_site_fract_x
_atom_site_fract_y
_atom_site_fract_z
Pr1 0.000 0.500 0.000
Cr1 0.000 0.000 0.568
Si1 0.500 0.500 0.559
O1 0.000 0.000 0.100
O2 0.273 0.273 0.663
O3 0.500 0.500 0.197
```